[1]
A plane-wave DFT calculation with PBEsol was carried out for a geometry-optimized SiMoIN2 structure.

a b c (Å): 3.9507 3.9507 5.4973
angles (deg): 90.00 90.00 90.00
Space group P4/mmm (No. 123)
Asymmetric unit:
Si 0.0000 0.0000 0.0000 x1
Mo 0.5000 0.5000 0.5000 x1
I 0.5000 0.5000 0.0000 x1
N 0.0000 0.5000 0.5000 x2

Output
Its density of states at the Fermi level is 3.6 states/eV per cell. The density is 5.4 Mg/m³. The calculation puts the uncorrected formation energy at 830 meV per atom. For the magnetization, the calculation gives 0.001 μB/f.u.

=====

[2]
A plane-wave DFT calculation with PBEsol was carried out for a geometry-optimized TaMoI2N structure.

a b c (Å): 5.4351 5.4351 3.7253
angles (deg): 90.00 90.00 90.00
Space group P4/mmm (No. 123)
Asymmetric unit:
Ta 0.0000 0.0000 0.0000 x1
Mo 0.5000 0.5000 0.5000 x1
I 0.0000 0.5000 0.5000 x2
N 0.5000 0.5000 0.0000 x1

Output
Its density of states at the Fermi level is 5.1 states/eV per cell. The density is 8.2 Mg/m³. The calculation puts the uncorrected formation energy at 1013 meV per atom. For the magnetization, the calculation gives 2.929 μB/f.u.

=====

[3]
A plane-wave DFT calculation with PBEsol was carried out for a geometry-optimized TeMoI2N structure.

a b c (Å): 5.5659 5.5659 5.1360
angles (deg): 90.00 90.00 90.00
Space group P4/mmm (No. 123)
Asymmetric unit:
Te 0.0000 0.0000 0.0000 x1
Mo 0.0000 0.0000 0.5000 x1
I 0.0000 0.5000 0.5000 x2
N 0.5000 0.5000 0.0000 x1

Output
Its density of states at the Fermi level is 4.8 states/eV per cell. The density is 5.1 Mg/m³. The calculation puts the uncorrected formation energy at 1324 meV per atom. For the magnetization, the calculation gives 4.223 μB/f.u.

=====

[4]
A plane-wave DFT calculation with PBEsol was carried out for a geometry-optimized ZnMoI2N structure.

a b c (Å): 5.6229 5.6229 3.6787
angles (deg): 90.00 90.00 90.00
Space group P4/mmm (No. 123)
Asymmetric unit:
Zn 0.0000 0.0000 0.0000 x1
Mo 0.5000 0.5000 0.5000 x1
I 0.0000 0.5000 0.0000 x2
N 0.0000 0.0000 0.5000 x1

Output
Its density of states at the Fermi level is 3.1 states/eV per cell. The density is 6.1 Mg/m³. The calculation puts the uncorrected formation energy at 1226 meV per atom. For the magnetization, the calculation gives 5.811 μB/f.u.

=====

[5]
A plane-wave DFT calculation with PBEsol was carried out for a geometry-optimized Na2MoI structure.

a b c (Å): 8.7721 8.7721 5.9427
angles (deg): 90.00 90.00 90.00
Space group I-42d (No. 122)
Asymmetric unit:
Na 0.2362 0.2500 0.1250 x8
Mo 0.0000 0.0000 0.5000 x4
I 0.0000 0.0000 0.0000 x4

Output
Its density of states at the Fermi level is 10.4 states/eV per cell. The density is 3.9 Mg/m³. The calculation puts the uncorrected formation energy at 867 meV per atom. For the magnetization, the calculation gives 4.088 μB/f.u.

=====

[6]
A plane-wave DFT calculation with PBEsol was carried out for a geometry-optimized Rb2NaMoI6 structure.

a b c (Å): 11.6487 11.6487 11.6487
angles (deg): 90.00 90.00 90.00
Space group Fm-3m (No. 225)
Asymmetric unit:
Rb 0.2500 0.2500 0.2500 x8
Na 0.0000 0.0000 0.0000 x4
Mo 0.0000 0.0000 0.5000 x4
I 0.0000 0.0000 0.2627 x24

Output
The density is 4.4 Mg/m³. The calculation puts the uncorrected formation energy at -839 meV per atom. For the magnetization, the calculation gives 3.000 μB/f.u.

=====

[7]
A plane-wave DFT calculation with PBEsol was carried out for a geometry-optimized Nb2MoSeI structure.

a b c (Å): 4.6818 4.6818 5.5573
angles (deg): 90.00 90.00 90.00
Space group P4/mmm (No. 123)
Asymmetric unit:
Nb 0.0000 0.5000 0.0000 x2
Mo 0.0000 0.0000 0.5000 x1
Se 0.5000 0.5000 0.0000 x1
I 0.5000 0.5000 0.5000 x1

Output
Its density of states at the Fermi level is 6.0 states/eV per cell. The density is 6.6 Mg/m³. The calculation puts the uncorrected formation energy at 1667 meV per atom. For the magnetization, the calculation gives 2.363 μB/f.u.

=====

[8]
A plane-wave DFT calculation with PBEsol was carried out for a geometry-optimized MoIO3 structure.

a b c (Å): 4.1670 4.1670 4.1670
angles (deg): 90.00 90.00 90.00
Space group Pm-3m (No. 221)
Asymmetric unit:
Mo 0.0000 0.0000 0.0000 x1
I 0.5000 0.5000 0.5000 x1
O 0.0000 0.5000 0.5000 x3

Output
Its density of states at the Fermi level is 4.8 states/eV per cell. The density is 6.2 Mg/m³. The calculation puts the uncorrected formation energy at 654 meV per atom. For the magnetization, the calculation gives 4.573 μB/f.u.

=====

[9]
A plane-wave DFT calculation with PBEsol was carried out for a geometry-optimized Mo3IO structure.

a b c (Å): 4.1973 4.1973 4.1973
angles (deg): 90.00 90.00 90.00
Space group Pm-3m (No. 221)
Asymmetric unit:
Mo 0.0000 0.0000 0.5000 x3
I 0.5000 0.5000 0.5000 x1
O 0.0000 0.0000 0.0000 x1

Output
Its density of states at the Fermi level is 6.3 states/eV per cell. The density is 9.7 Mg/m³. The calculation puts the uncorrected formation energy at 410 meV per atom. For the magnetization, the calculation gives 0.002 μB/f.u.

=====

[10]
A plane-wave DFT calculation with PBEsol was carried out for a geometry-optimized MoP2IO structure.

a b c (Å): 4.8644 4.8644 3.7789
angles (deg): 90.00 90.00 90.00
Space group P4/mmm (No. 123)
Asymmetric unit:
Mo 0.0000 0.0000 0.0000 x1
P 0.0000 0.5000 0.0000 x2
I 0.5000 0.5000 0.5000 x1
O 0.0000 0.0000 0.5000 x1

Output
Its density of states at the Fermi level is 2.2 states/eV per cell. The density is 5.6 Mg/m³. The calculation puts the uncorrected formation energy at -207 meV per atom. For the magnetization, the calculation gives 0.000 μB/f.u.

=====

[11]
A plane-wave DFT calculation with PBEsol was carried out for a geometry-optimized RbMoIO6 structure.

a b c (Å): 7.5624 10.2005 7.3543
angles (deg): 90.00 90.00 90.00
Space group Pna2_1 (No. 33)
Asymmetric unit:
Rb 0.0219 0.1171 0.0000 x4
Mo 0.0079 0.4717 0.2414 x4
I 0.2165 0.7431 0.0651 x4
O 0.0658 0.1584 0.5592 x4
O 0.0683 0.5173 0.9819 x4
O 0.1276 0.6551 0.6757 x4
O 0.1365 0.6617 0.2754 x4
O 0.2084 0.3957 0.2827 x4
O 0.2214 0.3950 0.6831 x4

Output
Its density of states at the Fermi level is 0.0 states/eV per cell. The density is 4.7 Mg/m³. The calculation puts the uncorrected formation energy at -1434 meV per atom. For the magnetization, the calculation gives 0.000 μB/f.u.

=====

[12]
A plane-wave DFT calculation with PBEsol was carried out for a geometry-optimized Re2MoIO structure.

a b c (Å): 3.9102 3.9102 5.2574
angles (deg): 90.00 90.00 90.00
Space group P4/mmm (No. 123)
Asymmetric unit:
Re 0.0000 0.5000 0.0000 x2
Mo 0.0000 0.0000 0.5000 x1
I 0.5000 0.5000 0.5000 x1
O 0.5000 0.5000 0.0000 x1

Output
Its density of states at the Fermi level is 4.7 states/eV per cell. The density is 12.6 Mg/m³. The calculation puts the uncorrected formation energy at 1057 meV per atom. For the magnetization, the calculation gives 0.797 μB/f.u.

=====

[13]
A plane-wave DFT calculation with PBEsol was carried out for a geometry-optimized MoRhIO2 structure.

a b c (Å): 3.7646 3.7646 5.8573
angles (deg): 90.00 90.00 90.00
Space group P4/mmm (No. 123)
Asymmetric unit:
Mo 0.0000 0.0000 0.0000 x1
Rh 0.5000 0.5000 0.5000 x1
I 0.0000 0.0000 0.5000 x1
O 0.0000 0.5000 0.0000 x2

Output
Its density of states at the Fermi level is 4.6 states/eV per cell. The density is 7.2 Mg/m³. The calculation puts the uncorrected formation energy at -582 meV per atom. For the magnetization, the calculation gives 0.270 μB/f.u.